No. 1
This record from Alexandria describes a relaxed TcTe2BrN crystal. The functional is PBE.

Results
E above lowest polymorph in meV/atom: 0.0
Magnetic moment in μB per cell: 0.00
Symmetry: P4/mmm
E_tot in Ry per atom: -0.3680

Unit cell a=5.505 b=5.505 c=3.717 alpha=90.00 beta=90.00 gamma=90.00
Sites, in units of the cell vectors:
1 Tc 0.000 0.000 0.000
2 Te 0.000 0.500 0.000
3 Te 0.500 0.000 0.000
4 Br 0.500 0.500 0.500
5 N 0.000 0.000 0.500



No. 2
This record from Alexandria describes a relaxed YTcBrN2 crystal. The functional is PBE.

Results
Magnetic moment in μB per cell: 0.00
Symmetry: P4/mmm
E_tot in Ry per atom: -0.5106

Unit cell a=3.982 b=3.982 c=5.054 alpha=90.00 beta=90.00 gamma=90.00
Sites, in units of the cell vectors:
1 Y 0.000 0.000 0.000
2 Tc 0.500 0.500 0.500
3 Br 0.500 0.500 0.000
4 N 0.000 0.500 0.500
5 N 0.500 0.000 0.500



No. 3
This record from Alexandria describes a relaxed TeBr2N crystal. The functional is PBE.

Results
E above lowest polymorph in meV/atom: 0.0
Magnetic moment in μB per cell: 0.00
Symmetry: I4_1/amd
E_tot in Ry per atom: -0.1880

Unit cell a=6.739 b=6.739 c=6.739 alpha=120.53 beta=120.53 gamma=89.09
Sites, in units of the cell vectors:
1 Te 0.375 0.625 0.750
2 Te 0.625 0.375 0.250
3 Br 0.000 0.000 0.000
4 Br 0.000 0.000 0.500
5 Br 0.000 0.500 0.000
6 Br 0.500 0.000 0.500
7 N 0.125 0.875 0.250
8 N 0.875 0.125 0.750



No. 4
This record from Alexandria describes a relaxed TeBr2N2 crystal. The functional is PBE.

Results
E above lowest polymorph in meV/atom: 2013.0
Magnetic moment in μB per cell: 0.68
Symmetry: I4/mmm
E_tot in Ry per atom: -0.1947

Unit cell a=8.366 b=8.366 c=8.366 alpha=151.27 beta=151.27 gamma=41.08
Sites, in units of the cell vectors:
1 Te 0.000 0.000 0.000
2 Br 0.290 0.290 0.000
3 Br 0.710 0.710 0.000
4 N 0.250 0.750 0.500
5 N 0.750 0.250 0.500



> magnetic moment of number 1 (TcTe2BrN)?

0.00 μB per cell



> Number 1 is which compound?

TcTe2BrN



> Among the records above, which one has the lowest E_tot?

YTcBrN2



> Which formula does entry 4 have?

TeBr2N2